# 1
Computed, not measured: Ca2CdPb after structural relaxation at the GGA-PBE level of DFT.

Cell: 5.571 5.571 5.571 Å, 60.00 60.00 60.00°
Atoms (fractional coordinates):
Ca  0.000  0.000  0.000
Ca  0.250  0.250  0.250
Cd  0.500  0.500  0.500
Pb  0.750  0.750  0.750

## Properties
The formation energy is -0.1768 eV/atom. The volume is 30.56 Å³/atom. The calculation puts the density of states at the Fermi level at 0.7440 states/eV per atom. As for the offset from the most stable computed form: 327 meV per atom.

***

# 2
Computed, not measured: CaCdPb2 after structural relaxation at the GGA-PBE level of DFT.

Cell: 10.134 10.134 10.134 Å, 21.63 21.63 21.63°
Atoms (fractional coordinates):
Ca  0.000  0.000  0.000
Cd  0.747  0.747  0.747
Pb  0.245  0.245  0.245
Pb  0.493  0.493  0.493

## Properties
The formation energy is -0.0985 eV/atom. The volume is 30.98 Å³/atom. The calculation puts the density of states at the Fermi level at 0.7452 states/eV per atom.

***

# 3
Computed, not measured: Ca2Cd2Pb after structural relaxation at the GGA-PBE level of DFT.

Cell: 4.888 3.696 8.130 Å, 90.00 107.42 90.00°
Atoms (fractional coordinates):
Ca  0.114  0.000  0.228
Ca  0.886  0.000  0.772
Cd  0.297  0.500  0.594
Cd  0.703  0.500  0.406
Pb  0.500  0.500  0.000

## Properties
The formation energy is -0.3928 eV/atom. The volume is 28.02 Å³/atom. The calculation puts the density of states at the Fermi level at 0.4385 states/eV per atom. As for the offset from the most stable computed form: 0 meV per atom.

***

What did the first record say?
Computed, not measured: Ca2CdPb after structural relaxation at the GGA-PBE level of DFT.

Cell: 5.571 5.571 5.571 Å, 60.00 60.00 60.00°
Atoms (fractional coordinates):
Ca  0.000  0.000  0.000
Ca  0.250  0.250  0.250
Cd  0.500  0.500  0.500
Pb  0.750  0.750  0.750

## Properties
The formation energy is -0.1768 eV/atom. The volume is 30.56 Å³/atom. The calculation puts the density of states at the Fermi level at 0.7440 states/eV per atom. As for the offset from the most stable computed form: 327 meV per atom.